Record 1
Material: Ba3PrTc2N6
Method: DFT, PBE-GGA
State: relaxed

Properties
volume	259.6	Å³/cell
uncorrected energy	-7.428	eV per atom
ΔE_f (raw)	-659	meV per atom

Cell: 6.3570 6.3570 7.4164 Å, 90.00 90.00 120.00°
Space group P-3m1 (No. 164)
Symmetry-distinct sites (fractional):
Ba  0.0000  0.0000  0.0000
Ba  0.3333  0.6667  0.7117
Pr  0.0000  0.0000  0.5000
Tc  0.3333  0.6667  0.2374
N  0.1726  0.3452  0.2857

=====

Record 2
Material: YPtAu2
Method: DFT, PBE-GGA
State: relaxed

Properties
volume	164.5	Å³/cell
formation energy	-0.722	eV per atom
uncorrected energy	-5.487	eV per atom
ΔE to the lowest computed polymorph	49.8	meV per atom

Cell: 4.212 7.874 5.383 Å, 90.00 112.92 90.00°
Space group P2_1/m (No. 11)
Symmetry-distinct sites (fractional):
Y  0.063  0.250  0.125
Pt  0.232  0.750  0.467
Au  0.369  0.057  0.736

=====

Record 3
Material: Mn2CuC
Method: DFT, PBE-GGA
State: relaxed

Properties
volume	131.5	Å³/cell
formation energy	0.090	eV per atom
uncorrected energy	-7.824	eV per atom
ΔE to the lowest computed polymorph	0.0	meV per atom

Cell: 2.8305 2.8305 18.9519 Å, 90.00 90.00 120.00°
Space group R-3m (No. 166, hexagonal axes)
Symmetry-distinct sites (fractional):
Mn  0.0000  0.0000  0.2242
Cu  0.0000  0.0000  0.0000
C  0.0000  0.0000  0.5000

=====

Record 4
Material: K4ScHg
Method: DFT, PBE-GGA
State: relaxed

Properties
volume	1244.2	Å³/cell
formation energy	0.526	eV per atom
uncorrected energy	-1.311	eV per atom

Cell: 10.755 10.755 10.755 Å, 90.00 90.00 90.00°
Space group F-43m (No. 216)
Symmetry-distinct sites (fractional):
K  0.125  0.125  0.125
Sc  0.250  0.250  0.750
Hg  0.000  0.000  0.500

=====

Record 5
Material: RbBe2F2
Method: DFT, PBE-GGA
State: relaxed

Properties
volume	191.1	Å³/cell
uncorrected energy	-3.604	eV per atom
ΔE to the lowest computed polymorph	0.0	meV per atom
ΔE_f (raw)	-1171	meV per atom

Cell: 8.209 8.209 2.835 Å, 90.00 90.00 90.00°
Space group P4/mbm (No. 127)
Symmetry-distinct sites (fractional):
Rb  0.000  0.000  0.000
Be  0.087  0.413  0.000
F  0.167  0.333  0.500

=====

Record 6
Material: CaPrNd2In4
Method: DFT, PBE-GGA
State: relaxed

Properties
volume	699.8	Å³/cell
formation energy	-0.486	eV per atom
uncorrected energy	-3.894	eV per atom

Cell: 5.4677 5.4677 27.0306 Å, 90.00 90.00 120.00°
Space group R-3m (No. 166, hexagonal axes)
Symmetry-distinct sites (fractional):
Ca  0.0000  0.0000  0.0000
Pr  0.0000  0.0000  0.5000
Nd  0.0000  0.0000  0.2533
In  0.0000  0.0000  0.1255
In  0.0000  0.0000  0.3755

=====

Record 7
Material: AgBPt3
Method: DFT, PBE-GGA
State: relaxed

Properties
volume	149.0	Å³/cell
formation energy	-0.136	eV per atom
uncorrected energy	-5.666	eV per atom
ΔE to the lowest computed polymorph	88.8	meV per atom

Cell: 4.731 5.680 5.641 Å, 90.00 100.51 90.00°
Space group P2_1/m (No. 11)
Symmetry-distinct sites (fractional):
Ag  0.019  0.250  0.449
B  0.354  0.750  0.962
Pt  0.041  0.250  0.947
Pt  0.486  0.501  0.255

=====

Record 8
Material: Cd4Pd15Pt
Method: DFT, PBE-GGA
State: relaxed

Properties
volume	325.3	Å³/cell
formation energy	-0.200	eV per atom
uncorrected energy	-4.579	eV per atom

Cell: 4.016 4.016 20.171 Å, 90.00 90.00 90.00°
Space group P4/mmm (No. 123)
Symmetry-distinct sites (fractional):
Cd  0.000  0.000  0.101
Cd  0.000  0.000  0.302
Pd  0.000  0.500  0.000
Pd  0.000  0.500  0.202
Pd  0.000  0.500  0.403
Pd  0.500  0.500  0.101
Pd  0.500  0.500  0.303
Pd  0.500  0.500  0.500
Pt  0.000  0.000  0.500

=====

Record 9
Material: Hf2ZrZn
Method: DFT, PBE-GGA
State: relaxed

Properties
volume	333.3	Å³/cell
formation energy	-0.068	eV per atom
uncorrected energy	-7.500	eV per atom

Cell: 3.273 11.100 9.174 Å, 90.00 90.00 90.00°
Space group Cmcm (No. 63)
Symmetry-distinct sites (fractional):
Hf  0.000  0.134  0.028
Zr  0.000  0.449  0.250
Zn  0.000  0.268  0.750

=====

Record 10
Material: Li3PrBr6
Method: DFT, PBE-GGA
State: relaxed

Properties
volume	586.2	Å³/cell
uncorrected energy	-3.610	eV per atom
ΔE to the lowest computed polymorph	41.0	meV per atom
ΔE_f (raw)	-1554	meV per atom

Cell: 9.104 13.861 4.645 Å, 90.00 90.00 90.00°
Space group Cmmm (No. 65)
Symmetry-distinct sites (fractional):
Li  0.000  0.000  0.000
Li  0.250  0.250  0.500
Pr  0.000  0.500  0.000
Br  0.000  0.359  0.500
Br  0.208  0.125  0.000

=====

Record 11
Material: LuSc2Os
Method: DFT, PBE-GGA
State: relaxed

Properties
volume	88.7	Å³/cell
formation energy	-0.230	eV per atom
uncorrected energy	-7.333	eV per atom

Cell: 3.251 3.251 8.393 Å, 90.00 90.00 90.00°
Space group P4/mmm (No. 123)
Symmetry-distinct sites (fractional):
Lu  0.000  0.000  0.000
Sc  0.500  0.500  0.317
Os  0.000  0.000  0.500

=====

Record 12
Material: SnTe2S
Method: DFT, PBE-GGA
State: relaxed

Properties
volume	538.0	Å³/cell
uncorrected energy	-3.412	eV per atom
ΔE_f (raw)	191	meV per atom

Cell: 5.617 5.617 17.049 Å, 90.00 90.00 90.00°
Space group I-42d (No. 122)
Symmetry-distinct sites (fractional):
Sn  0.000  0.000  0.000
Te  0.197  0.250  0.625
S  0.000  0.000  0.500

=====

Record 13
Material: KLi2HfTi
Method: DFT, PBE-GGA
State: relaxed

Properties
volume	111.7	Å³/cell
formation energy	1.410	eV per atom
uncorrected energy	-3.145	eV per atom

Cell: 4.414 4.414 5.732 Å, 90.00 90.00 90.00°
Space group P4/mmm (No. 123)
Symmetry-distinct sites (fractional):
K  0.000  0.000  0.000
Li  0.000  0.500  0.000
Hf  0.000  0.000  0.500
Ti  0.500  0.500  0.500

=====

Record 14
Material: Rb3RuO
Method: DFT, PBE-GGA
State: relaxed

Properties
volume	180.6	Å³/cell
uncorrected energy	-2.450	eV per atom
ΔE_f (raw)	977	meV per atom

Cell: 5.653 5.653 5.653 Å, 90.00 90.00 90.00°
Space group Pm-3m (No. 221)
Symmetry-distinct sites (fractional):
Rb  0.000  0.000  0.500
Ru  0.000  0.000  0.000
O  0.500  0.500  0.500